1.
Here is AcTa3Ge3 after structural relaxation from Alexandria via LeMat-Bulk. Energies are from PBE.

abc: 4.731 8.685 8.685
angles: 120.00 90.00 90.00
Atoms (fractional coordinates):
Ta: 0.750 0.813 0.028
Ta: 0.250 0.187 0.972
Ta: 0.750 0.972 0.786
Ta: 0.250 0.028 0.214
Ta: 0.250 0.786 0.813
Ta: 0.750 0.214 0.187
Ge: 0.250 0.943 0.613
Ge: 0.750 0.329 0.943
Ge: 0.750 0.613 0.671
Ge: 0.750 0.057 0.387
Ge: 0.250 0.387 0.329
Ge: 0.250 0.671 0.057
Ac: 0.750 0.667 0.333
Ac: 0.250 0.333 0.667

Output
Total energy, eV/atom: -7.767
Symmetry: P6_3/m (176)

***

2.
Here is AcTaGe after structural relaxation from Alexandria via LeMat-Bulk. Energies are from PBE.

abc: 3.839 3.694 11.280
angles: 80.58 90.00 90.00
Atoms (fractional coordinates):
Ge: 0.750 0.534 0.932
Ge: 0.250 0.466 0.068
Ac: 0.250 0.118 0.764
Ac: 0.750 0.882 0.236
Ta: 0.750 0.728 0.543
Ta: 0.250 0.272 0.457

Output
Total energy, eV/atom: -6.755
ΔE to the lowest computed polymorph, meV/atom: 0
Symmetry: Cmcm (63)

***

3.
Here is Ac4TaGe5 after structural relaxation from Alexandria via LeMat-Bulk. Energies are from PBE.

abc: 6.386 7.588 7.588
angles: 79.80 65.12 65.12
Atoms (fractional coordinates):
Ac: 0.420 0.389 0.785
Ac: 0.205 0.215 0.389
Ac: 0.808 0.785 0.611
Ac: 0.594 0.611 0.215
Ge: 0.913 0.351 0.831
Ge: 0.264 0.831 0.649
Ge: 0.436 0.000 0.000
Ge: 0.095 0.649 0.169
Ge: 0.745 0.169 0.351
Ta: 0.030 0.000 0.000

Output
Total energy, eV/atom: -5.531
Symmetry: I4 (79)

***

4.
Here is AcTaGe after structural relaxation from Alexandria via LeMat-Bulk. Energies are from PBE.

abc: 4.572 4.550 4.550
angles: 120.00 90.00 90.00
Each line ends with the local moment (μB).
Atoms (fractional coordinates):
Ac: 0.667 0.667 0.333  0.12
Ge: 0.167 0.000 0.000  -0.01
Ta: 0.167 0.333 0.667  0.99

Output
Total energy, eV/atom: -6.743
ΔE to the lowest computed polymorph, meV/atom: 12
Symmetry: P-6m2 (187)

***

5.
Here is AcTaTiGe2 after structural relaxation from Alexandria via LeMat-Bulk. Energies are from PBE.

abc: 4.211 4.211 6.875
angles: 107.84 107.84 90.00
Atoms (fractional coordinates):
Ge: 0.384 0.384 0.767
Ge: 0.616 0.616 0.233
Ta: 0.250 0.750 0.500
Ti: 0.750 0.250 0.500
Ac: 0.000 0.000 0.000

Output
Total energy, eV/atom: -7.132
Symmetry: I-4m2 (119)

***

6.
Here is Ac2TaZnGe6 after structural relaxation from Alexandria via LeMat-Bulk. Energies are from PBE.

abc: 6.502 6.502 13.067
angles: 75.59 75.59 60.00
Atoms (fractional coordinates):
Ge: 0.766 0.352 0.116
Ge: 0.234 0.648 0.884
Ge: 0.766 0.766 0.116
Ge: 0.667 0.060 0.606
Ge: 0.648 0.234 0.884
Ge: 0.940 0.333 0.394
Ge: 0.333 0.333 0.394
Ge: 0.234 0.234 0.884
Ge: 0.333 0.940 0.394
Ge: 0.352 0.766 0.116
Ge: 0.060 0.667 0.606
Ge: 0.667 0.667 0.606
Ta: 0.000 0.000 0.000
Ta: 0.500 0.500 0.500
Ac: 0.289 0.289 0.132
Ac: 0.887 0.887 0.338
Ac: 0.711 0.711 0.868
Ac: 0.113 0.113 0.662
Zn: 0.573 0.573 0.281
Zn: 0.427 0.427 0.719

Output
Total energy, eV/atom: -5.216
Symmetry: R-3m (166)

***

7.
Here is AcTbGe after structural relaxation from Alexandria via LeMat-Bulk. Energies are from PBE.

abc: 4.648 4.649 8.482
angles: 90.00 90.00 90.00
Each line ends with the local moment (μB).
Atoms (fractional coordinates):
Ge: 0.814 0.867 0.161  0.00
Ge: 0.313 0.366 0.678  0.00
Tb: 0.814 0.366 0.920  0.30
Tb: 0.314 0.866 0.920  0.30
Ac: 0.814 0.866 0.563  0.19
Ac: 0.314 0.366 0.276  0.19

Output
Total energy, eV/atom: -5.012
ΔE to the lowest computed polymorph, meV/atom: 0
Symmetry: P4/nmm (129)

***

8.
Here is AcTb2Ge after structural relaxation from Alexandria via LeMat-Bulk. Energies are from PBE.

abc: 4.841 4.879 4.879
angles: 90.00 90.00 90.00
Atoms (fractional coordinates):
Ac: 0.500 0.500 0.500
Tb: 0.000 0.000 0.500
Tb: 0.000 0.500 0.000
Ge: 0.500 0.000 0.000

Output
Total energy, eV/atom: -4.721
ΔE to the lowest computed polymorph, meV/atom: 69
Symmetry: P4/mmm (123)

***

Which of these has the lowest total energy?
AcTa3Ge3

***

Which of these has the lowest total energy?
AcTa3Ge3

***

Among the records above, which one has the highest total energy?
AcTb2Ge

***

total energy of number 5 (AcTaTiGe2)?
-7.132 eV/atom